Computed, not measured: a relaxed structure of BeAl2SnPd at the PBE-GGA level of DFT.

a b c (Å): 4.228 5.132 4.228
angles (deg): 90.00 90.00 90.00
Positions (direct):
Pd (0.500, 0.500, 0.500)
Be (0.000, 0.000, 0.000)
Al (0.500, 0.000, 0.000)
Al (0.000, 0.000, 0.500)
Sn (0.000, 0.500, 0.000)

Summary:
Symmetry: P4/mmm
Energy (eV per atom): -3.770
Crystal system: tetragonal

Computed, not measured: a relaxed structure of Tl6TePb2 at the PBE-GGA level of DFT.

a b c (Å): 4.662 8.963 7.892
angles (deg): 94.90 109.17 74.93
Positions (direct):
Pb (0.681, 0.638, 0.500)
Tl (0.355, 0.000, 0.685)
Tl (0.667, 0.346, 0.168)
Tl (0.014, 0.654, 0.168)
Tl (0.645, 0.000, 0.315)
Te (0.000, 0.000, 0.000)
Pb (0.319, 0.362, 0.500)
Tl (0.333, 0.654, 0.832)
Tl (0.986, 0.346, 0.832)

Summary:
Symmetry: C2/m
Formation energy without anion corrections (meV per atom): -30
Crystal system: monoclinic

Computed, not measured: a relaxed structure of Rb2YGaS4 at the PBE-GGA level of DFT.

a b c (Å): 8.305 8.305 8.412
angles (deg): 117.92 117.92 92.63
Positions (direct):
Rb (0.000, 0.000, 0.500)
Ga (0.500, 0.500, 0.500)
S (0.719, 0.693, 0.507)
Ga (0.000, 0.000, 0.000)
Rb (0.500, 0.500, 0.000)
S (0.193, 0.219, 0.007)
S (0.231, 0.693, 0.451)
Rb (0.500, 0.000, 0.500)
Rb (0.500, 0.000, 0.000)
S (0.807, 0.269, 0.049)
Y (0.000, 0.500, 0.500)
S (0.807, 0.781, 0.993)
S (0.281, 0.307, 0.493)
S (0.193, 0.731, 0.951)
Y (0.000, 0.500, 0.000)
S (0.769, 0.307, 0.549)

Summary:
Symmetry: C2/c
Formation energy without anion corrections (meV per atom): -1169
Crystal system: monoclinic

no.,V (Å³ per atom),calculated density (kg/m³)
1,18.35,5215
2,33.42,9762
3,26.63,3569